Entry 1:
A plane-wave DFT calculation with PBE-GGA was carried out for a geometry-optimized PuZn12Ga4 structure.

Geometry as POSCAR:
```
PuZn12Ga4
1.0
-4.3827 4.3827 4.3827
4.3827 -4.3827 4.3827
4.3827 4.3827 -4.3827
Pu Zn Ga
1 12 4
direct
0.0000 0.0000 0.0000
0.1482 0.5019 0.3537
0.1482 0.7946 0.6463
0.2054 0.3537 0.8518
0.3537 0.1482 0.5019
0.3537 0.8518 0.2054
0.4981 0.6463 0.8518
0.5019 0.3537 0.1482
0.6463 0.1482 0.7946
0.6463 0.8518 0.4981
0.7946 0.6463 0.1482
0.8518 0.2054 0.3537
0.8518 0.4981 0.6463
0.0000 0.0000 0.5000
0.0000 0.5000 0.0000
0.5000 0.0000 0.0000
0.5000 0.5000 0.5000
```

- Formation energy: 0.197 eV/atom
- E: -2.26 eV/atom
- Total magnetic moment: 6.61 μB/f.u.

Entry 2:
A plane-wave DFT calculation with PBE-GGA was carried out for a geometry-optimized Pu2Zn3Ga structure.

Geometry as POSCAR:
```
Pu2Zn3Ga
1.0
4.6755 -2.6929 0.0000
4.6755 2.6929 0.0000
-3.1195 0.0000 4.5641
Pu Zn Ga
2 3 1
direct
0.1295 0.1295 0.3874
0.8705 0.8705 0.6126
0.0000 0.5000 0.0000
0.5000 0.0000 0.0000
0.5000 0.5000 0.0000
0.5000 0.5000 0.5000
```

- Formation energy: -0.239 eV/atom
- E: -6.16 eV/atom
- Total magnetic moment: 11.05 μB/f.u.

Entry 3:
A plane-wave DFT calculation with PBE-GGA was carried out for a geometry-optimized PuZnGa5 structure.

Geometry as POSCAR:
```
PuZnGa5
1.0
4.2193 0.0000 0.0000
0.0000 4.2193 0.0000
0.0000 0.0000 7.6737
Pu Zn Ga
1 1 5
direct
0.0000 0.0000 0.0000
0.5000 0.5000 0.5000
0.0000 0.5000 0.2903
0.0000 0.5000 0.7097
0.5000 0.0000 0.2903
0.5000 0.0000 0.7097
0.5000 0.5000 0.0000
```

- Formation energy: -0.124 eV/atom
- E: -4.52 eV/atom
- Total magnetic moment: 5.43 μB/f.u.

Q: Which formula does entry 2 have?
A: Pu2Zn3Ga